Below is a relaxed GeTeIrN2 crystal, with properties calculated at the GGA-PBE level.

```
GeTeIrN2
1.0
3.807 0.000 0.000
0.000 3.807 0.000
0.000 0.000 7.647
Ge Te Ir N
1 1 1 2
Direct
0.000 0.000 0.000
0.500 0.500 0.000
0.500 0.500 0.500
0.000 0.500 0.500
0.500 0.000 0.500
```

Properties
Total DFT energy (no corrections) in eV per cell: -28.6
Formation energy (no corrections) in eV/atom: 0.94
SG: P4/mmm (123)
Volume in Å³ per cell: 110.83